{
  "formula": "InCu",
  "functional": "PBE",
  "state": "optimized geometry",
  "spacegroup": "P6_3/mmc (194)",
  "mass_density_g_cm3": 7.609,
  "final_energy_ev_per_atom": -2.977,
  "cell": [[3.794, 0.000, 0.000], [-1.897, 3.286, 0.000], [0.000, 0.000, 6.246]],
  "species": ["In", "In", "Cu", "Cu"],
  "frac_coords": [[0.000, 0.000, 0.000], [0.000, 0.000, 0.500], [0.333, 0.667, 0.250], [0.667, 0.333, 0.750]]
}

***

{
  "formula": "In2Cu9",
  "functional": "PBE",
  "state": "optimized geometry",
  "spacegroup": "P-3m1 (164)",
  "mass_density_g_cm3": 6.173,
  "final_energy_ev_per_atom": -3.318,
  "cell": [[2.738, 0.000, 0.000], [-1.369, 2.371, 0.000], [0.000, 0.000, 33.203]],
  "species": ["In", "In", "Cu", "Cu", "Cu", "Cu", "Cu", "Cu", "Cu", "Cu", "Cu"],
  "frac_coords": [[0.333, 0.667, 0.310], [0.667, 0.333, 0.690], [0.000, 0.000, 0.000], [0.000, 0.000, 0.178], [0.000, 0.000, 0.822], [0.333, 0.667, 0.118], [0.333, 0.667, 0.763], [0.333, 0.667, 0.941], [0.667, 0.333, 0.059], [0.667, 0.333, 0.237], [0.667, 0.333, 0.882]]
}